# Rb2CeGa2O6, optimized geometry, DFT PBE
# Final energy   -6.07 eV/atom
# Uncorrected formation energy   -202.8 kJ per mole of atoms
# V   620 Å³/cell
data_Rb2CeGa2O6
_cell_length_a 6.1702
_cell_length_b 6.1702
_cell_length_c 18.8186
_cell_angle_alpha 90.00
_cell_angle_beta 90.00
_cell_angle_gamma 120.00
_space_group_name_H-M_alt 'R -3 m'
_space_group_IT_number 166
_space_group_name_Hall '-R 3 2"'
loop_
_atom_site_label
_atom_site_type_symbol
_atom_site_fract_x
_atom_site_fract_y
_atom_site_fract_z
Rb1 Rb 0.0000 0.0000 0.2061
Ce1 Ce 0.0000 0.0000 0.0000
Ga1 Ga 0.0000 0.0000 0.4061
O1 O 0.0010 0.5005 0.7411